No. 1
# BaPr2Gd

BaPr2Gd after structural relaxation (PBE-GGA, Alexandria).

Space-group type: No. 166
Density, g/cm³: 6.05
Calculated volume, Å³/cell: 158.1
Excess energy over the best structure of this formula in the dataset, meV/atom: 88
Formation enthalpy at 0 K, eV per atom: 0.190

Cell: 3.713 3.713 13.417 Å, 82.05 82.05 60.00°
Last column: magnetic moment on the atom in μB.
Fractional positions:
Pr 0.093 0.093 0.720  0.06
Pr 0.907 0.907 0.280  0.06
Gd 0.500 0.500 0.500  -7.11
Ba 0.000 0.000 0.000  0.02

***

No. 2
# Tb2FePt9

Tb2FePt9 after structural relaxation (PBE-GGA, Alexandria).

Space-group type: No. 123
Density, g/cm³: 17.56
Calculated volume, Å³/cell: 201.4
Formation enthalpy at 0 K, eV per atom: -0.732

Cell: 4.077 4.077 12.118 Å, 90.00 90.00 90.00°
Last column: magnetic moment on the atom in μB.
Fractional positions:
Tb 0.000 0.000 0.328  0.00
Tb 0.000 0.000 0.672  0.00
Fe 0.000 0.000 0.000  3.39
Pt 0.500 0.500 0.000  0.31
Pt 0.500 0.500 0.326  0.05
Pt 0.500 0.500 0.674  0.05
Pt 0.500 0.000 0.151  0.24
Pt 0.500 0.000 0.500  0.02
Pt 0.500 0.000 0.849  0.24
Pt 0.000 0.500 0.151  0.24
Pt 0.000 0.500 0.500  0.02
Pt 0.000 0.500 0.849  0.24

***

No. 3
# CrCu4Te

CrCu4Te after structural relaxation (PBE-GGA, Alexandria).

Space-group type: No. 216
Density, g/cm³: 8.01
Calculated volume, Å³/cell: 89.9
Energy relative to the elements, uncorrected, eV per formula unit: 1.2

Cell: 5.028 5.028 5.028 Å, 60.00 60.00 60.00°
Last column: magnetic moment on the atom in μB.
Fractional positions:
Cr 0.000 0.000 0.000  3.69
Cu 0.626 0.626 0.123  0.04
Cu 0.626 0.123 0.626  0.04
Cu 0.626 0.626 0.626  0.04
Cu 0.123 0.626 0.626  0.04
Te 0.250 0.250 0.250  -0.07

***

No. 4
# CaInCl

CaInCl after structural relaxation (PBE-GGA, Alexandria).

Space-group type: No. 107
Density, g/cm³: 3.21
Calculated volume, Å³/cell: 98.3
Excess energy over the best structure of this formula in the dataset, meV/atom: 15
Energy relative to the elements, uncorrected, eV per formula unit: -3.0

Cell: 8.582 8.581 3.457 Å, 78.38 78.37 23.24°
Fractional positions:
Ca 0.978 0.978 0.022
Cl 0.391 0.391 0.609
In 0.630 0.630 0.370

***

No. 5
# Ho2TePd8

Ho2TePd8 after structural relaxation (PBE-GGA, Alexandria).

Space-group type: No. 71
Density, g/cm³: 10.71
Calculated volume, Å³/cell: 202.9
Energy relative to the elements, uncorrected, eV per formula unit: -7.0

Cell: 4.774 5.915 8.127 Å, 111.29 107.08 90.00°
Fractional positions:
Ho 0.813 0.313 0.627
Ho 0.187 0.687 0.373
Te 0.500 0.000 0.000
Pd 0.359 0.599 0.717
Pd 0.642 0.882 0.283
Pd 0.814 0.814 0.628
Pd 0.000 0.247 0.000
Pd 0.186 0.186 0.372
Pd 0.358 0.118 0.717
Pd 0.641 0.401 0.283
Pd 0.000 0.753 0.000

***

No. 6
# Y3SiNi

Y3SiNi after structural relaxation (PBE-GGA, Alexandria).

Space-group type: No. 65
Density, g/cm³: 4.07
Calculated volume, Å³/cell: 288.5
Excess energy over the best structure of this formula in the dataset, meV/atom: 213
Energy relative to the elements, uncorrected, eV per formula unit: 0.1

Cell: 16.665 16.665 3.380 Å, 90.00 90.00 162.10°
Last column: magnetic moment on the atom in μB.
Fractional positions:
Y 0.288 0.712 0.500  0.01
Y 0.716 0.284 0.500  0.01
Y 0.149 0.851 0.500  0.01
Y 0.854 0.146 0.500  0.01
Y 0.449 0.551 0.000  0.14
Y 0.554 0.446 0.000  0.14
Si 0.382 0.618 0.500  0.00
Si 0.621 0.379 0.500  0.00
Ni 0.219 0.781 0.000  -0.01
Ni 0.785 0.215 0.000  -0.01